(1)
Entry from the Alexandria database: an optimized crystal structure of FeRe2As (PBE).

Energy = -0.341 hartree per atom
Relative energy among the computed polymorphs = 0.061 eV per atom
ΔH_f (0 K) = 0.91 eV per formula unit
V = 55 Å³ per cell

Lattice parameters (Å, degrees): 4.0062 2.8110 5.0974 74.00 90.00 90.00
Site moments in Bohr magnetons follow the coordinates.
Atoms (fractional coordinates):
As  0.0000  0.6816  0.5110  0.00
Fe  0.5000  0.5695  0.7367  0.11
Re  0.0000  0.9393  0.9964  -0.01
Re  0.5000  0.3096  0.2560  0.01

---

(2)
Entry from the Alexandria database: an optimized crystal structure of FeRe2As (PBE).

Energy = -0.335 hartree per atom
Relative energy among the computed polymorphs = 0.219 eV per atom
ΔH_f (0 K) = 1.54 eV per formula unit
V = 56 Å³ per cell

Lattice parameters (Å, degrees): 4.7613 4.7613 4.7613 133.19 133.19 68.35
Site moments in Bohr magnetons follow the coordinates.
Atoms (fractional coordinates):
As  0.5000  0.5000  0.0000  0.00
Fe  0.7500  0.2500  0.5000  2.03
Re  0.0000  0.0000  0.0000  -0.03
Re  0.2500  0.7500  0.5000  0.09